Material: Ac2Si5Rh
Method: DFT, PBE
State: relaxed

Cell: 6.614 6.614 6.614 Å, 77.71 127.33 127.33°
Fractional positions:
Rh 0.000 0.965 0.965
Si 0.000 0.325 0.325
Si 0.000 0.705 0.279
Si 0.000 0.279 0.705
Si 0.574 0.279 0.279
Si 0.426 0.705 0.705
Ac 0.500 0.732 0.232
Ac 0.500 0.232 0.732

Properties
Theoretical density, Mg/m³: 6.53
Volume, Å³ per atom: 22.17
Space-group type: I4mm (107)
Total magnetization, Bohr magnetons per cell: 0.0
Formation energy (no corrections), eV per atom: -0.50
E_tot, eV/atom: -5.8325